1.
TlInHgTe3: optimized geometry, PBE-GGA.

uncorrected energy: -2.668 eV per atom
SG: No. 11
size of the total moment: 0.0 μB per formula unit
N(E_F): 0.057 states/eV/atom

Cell: 4.400 8.656 11.472 Å, 103.52 90.00 90.00°
Atoms (fractional coordinates):
Te 0.250 0.512 0.830
Te 0.250 0.773 0.468
Te 0.750 0.942 0.130
Te 0.750 0.227 0.532
Te 0.750 0.488 0.170
Te 0.250 0.058 0.870
Hg 0.750 0.305 0.930
Hg 0.250 0.695 0.070
In 0.250 0.090 0.635
In 0.750 0.910 0.365
Tl 0.750 0.729 0.738
Tl 0.250 0.271 0.262

---

2.
TlInHgTe: optimized geometry, PBE-GGA.

SG: No. 156
distance to the lowest polymorph of the same formula: 0 meV/atom
size of the total moment: 0.0 μB per formula unit
N(E_F): 0.317 states/eV/atom

Cell: 4.458 4.458 8.050 Å, 90.00 90.00 60.01°
Atoms (fractional coordinates):
Te 0.868 0.868 0.795
In 0.535 0.535 0.576
Hg 0.868 0.868 0.326
Tl 0.202 0.202 0.051

---

3.
TlInHgTe: optimized geometry, PBE-GGA.

SG: No. 216
distance to the lowest polymorph of the same formula: 23 meV/atom
size of the total moment: 0.0 μB per formula unit
N(E_F): 0.119 states/eV/atom

Cell: 5.664 5.664 5.664 Å, 60.00 60.00 60.00°
Atoms (fractional coordinates):
In 0.000 0.000 0.000
Te 0.250 0.250 0.250
Tl 0.500 0.500 0.500
Hg 0.750 0.750 0.750

---

The lowest N(E_F) belongs to which entry? TlInHgTe3

---

Which of these has the highest N(E_F)? number 2